<1>
Entry from the Alexandria database: crystalline CsK2BaSe at its relaxed geometry (PBE-GGA).

Structure (POSCAR):
```
CsK2BaSe
1.0
6.960 0.000 0.000
0.000 6.508 0.000
0.000 0.000 6.960
Cs K Ba Se
1 2 1 1
Direct
0.000 0.000 0.000 Cs
0.000 0.000 0.500 K
0.500 0.000 0.000 K
0.500 0.500 0.500 Ba
0.000 0.500 0.000 Se
```

Results
Its magnetic moment is 0.00 μB per formula unit. Its space group is P4/mmm (123). As for the crystal system: tetragonal.



<2>
Entry from the Alexandria database: crystalline CsK2BaSe at its relaxed geometry (PBE-GGA).

Structure (POSCAR):
```
CsK2BaSe
1.0
-5.867 -1.995 -2.955
0.814 -6.289 2.630
-3.235 1.769 5.230
Cs K Ba Se
1 2 1 1
Direct
0.500 0.500 0.500 Cs
0.000 0.500 0.000 K
0.500 0.000 0.000 K
0.000 0.000 0.500 Ba
0.000 0.000 0.000 Se
```

Results
Its magnetic moment is 0.63 μB per formula unit. Its space group is P4/mmm (123). As for the crystal system: tetragonal.



Which of them is the most stable, and which is the least stable? <2> and <1>, in that order.